Density functional theory data (PBE with a Hubbard U) for crystalline CrCdAsO6 at its relaxed geometry.

Values from the calculation:
E_tot = -104.52 eV for the cell shown
DOS(E_F) = 4.2 states/eV/cell
V = 11.22 A^3/atom

Lattice parameters (Å, degrees): 4.6771 4.6771 9.2282 90.00 90.00 90.00
Space group P4_2nm (No. 102)
Asymmetric unit:
Cr 0.0000 0.0000 0.0000 x2
Cd 0.0000 0.0000 0.3371 x2
As 0.0000 0.0000 0.6747 x2
O 0.1732 0.1732 0.8354 x4
O 0.2143 0.2143 0.5330 x4
O 0.2272 0.2272 0.1534 x4